NaZrI3 | PBE | relaxed

Calculated values
Space group ... Pm-3m
Energy ... -3.489 eV per atom

Cell lengths 5.8474, 5.8474, 5.8474 Å; angles 90.00, 90.00, 90.00 degrees
Sites, in units of the cell vectors:
1 Na 0.0000 0.0000 0.0000
2 Zr 0.5000 0.5000 0.5000
3 I 0.0000 0.5000 0.5000
4 I 0.5000 0.0000 0.5000
5 I 0.5000 0.5000 0.0000

---

NaZrI4 | PBE | relaxed

Calculated values
Space group ... P2/m
Energy ... -3.649 eV per atom

Cell lengths 7.6259, 4.0603, 7.9602 Å; angles 90.00, 91.66, 90.00 degrees
Sites, in units of the cell vectors:
1 Na 0.0000 0.0000 0.0000
2 Zr 0.0000 0.5000 0.5000
3 I 0.2291 0.5000 0.7965
4 I 0.2329 0.0000 0.3495
5 I 0.7671 0.0000 0.6505
6 I 0.7709 0.5000 0.2035

---

NaZr2I | PBE | relaxed

Calculated values
E above lowest polymorph ... 13 kJ/mol of formula units
Space group ... Fm-3m

Cell lengths 5.0986, 5.0986, 5.0986 Å; angles 60.00, 60.00, 60.00 degrees
Sites, in units of the cell vectors:
1 Na 0.0000 0.0000 0.0000
2 Zr 0.2500 0.2500 0.2500
3 Zr 0.7500 0.7500 0.7500
4 I 0.5000 0.5000 0.5000

---

NaZrI6 | PBE | relaxed

Calculated values
Space group ... P-1
Energy ... -3.169 eV per atom

Cell lengths 7.7001, 7.7022, 7.8840 Å; angles 89.88, 61.07, 60.04 degrees
Sites, in units of the cell vectors:
1 Na 0.0000 0.0000 0.0000
2 Zr 0.0000 0.5000 0.5000
3 I 0.1563 0.5518 0.7494
4 I 0.1924 0.7128 0.2563
5 I 0.4562 0.0984 0.2546
6 I 0.5438 0.9016 0.7454
7 I 0.8076 0.2872 0.7437
8 I 0.8437 0.4482 0.2506

---

NaZrI5 | PBE | relaxed

Calculated values
Space group ... C2/c
Energy ... -3.439 eV per atom

Cell lengths 8.0771, 8.0771, 11.6154 Å; angles 109.12, 109.12, 90.66 degrees
Sites, in units of the cell vectors:
1 Na 0.0585 0.9415 0.7500
2 Na 0.9415 0.0585 0.2500
3 Zr 0.0000 0.5000 0.0000
4 Zr 0.5000 0.0000 0.5000
5 I 0.1725 0.6298 0.8633
6 I 0.2283 0.7717 0.2500
7 I 0.2492 0.2569 0.0251
8 I 0.2569 0.2492 0.5251
9 I 0.3702 0.8275 0.6367
10 I 0.6298 0.1725 0.3633
11 I 0.7431 0.7508 0.4749
12 I 0.7508 0.7431 0.9749
13 I 0.7717 0.2283 0.7500
14 I 0.8275 0.3702 0.1367

---

NbI4 | PBE | relaxed

Calculated values
Space group ... Pm-3m
Energy ... -3.257 eV per atom

Cell lengths 5.5722, 5.5722, 5.5722 Å; angles 90.00, 90.00, 90.00 degrees
Sites, in units of the cell vectors:
1 Nb 0.0000 0.0000 0.0000
2 I 0.0000 0.0000 0.5000
3 I 0.0000 0.5000 0.0000
4 I 0.5000 0.0000 0.0000
5 I 0.5000 0.5000 0.5000

---

Nb2I13 | PBE | relaxed

Calculated values
Space group ... P-1
Energy ... -2.962 eV per atom

Cell lengths 7.3013, 10.4877, 11.5826 Å; angles 105.31, 106.47, 107.93 degrees
Sites, in units of the cell vectors:
1 Nb 0.2230 0.3439 0.1874
2 Nb 0.7770 0.6561 0.8126
3 I 0.0031 0.1352 0.2626
4 I 0.0599 0.7548 0.0499
5 I 0.0722 0.5258 0.3199
6 I 0.3409 0.0334 0.4334
7 I 0.4701 0.2043 0.1664
8 I 0.4990 0.4179 0.8163
9 I 0.5000 0.5000 0.5000
10 I 0.5010 0.5821 0.1837
11 I 0.5299 0.7957 0.8336
12 I 0.6591 0.9666 0.5666
13 I 0.9278 0.4742 0.6801
14 I 0.9401 0.2452 0.9501
15 I 0.9969 0.8648 0.7374

---

Nb3I | PBE | relaxed

Calculated values
Space group ... P6_3/mmc
Energy ... -7.369 eV per atom

Cell lengths 6.0684, 6.0684, 5.0031 Å; angles 90.00, 90.00, 120.00 degrees
Sites, in units of the cell vectors:
1 Nb 0.1525 0.3050 0.2500
2 Nb 0.1525 0.8475 0.2500
3 Nb 0.3050 0.1525 0.7500
4 Nb 0.6950 0.8475 0.2500
5 Nb 0.8475 0.1525 0.7500
6 Nb 0.8475 0.6950 0.7500
7 I 0.3333 0.6667 0.7500
8 I 0.6667 0.3333 0.2500

---

Copy entry 7 word for word.
Nb2I13 | PBE | relaxed

Calculated values
Space group ... P-1
Energy ... -2.962 eV per atom

Cell lengths 7.3013, 10.4877, 11.5826 Å; angles 105.31, 106.47, 107.93 degrees
Sites, in units of the cell vectors:
1 Nb 0.2230 0.3439 0.1874
2 Nb 0.7770 0.6561 0.8126
3 I 0.0031 0.1352 0.2626
4 I 0.0599 0.7548 0.0499
5 I 0.0722 0.5258 0.3199
6 I 0.3409 0.0334 0.4334
7 I 0.4701 0.2043 0.1664
8 I 0.4990 0.4179 0.8163
9 I 0.5000 0.5000 0.5000
10 I 0.5010 0.5821 0.1837
11 I 0.5299 0.7957 0.8336
12 I 0.6591 0.9666 0.5666
13 I 0.9278 0.4742 0.6801
14 I 0.9401 0.2452 0.9501
15 I 0.9969 0.8648 0.7374

---

What did the fifth record say?
NaZrI5 | PBE | relaxed

Calculated values
Space group ... C2/c
Energy ... -3.439 eV per atom

Cell lengths 8.0771, 8.0771, 11.6154 Å; angles 109.12, 109.12, 90.66 degrees
Sites, in units of the cell vectors:
1 Na 0.0585 0.9415 0.7500
2 Na 0.9415 0.0585 0.2500
3 Zr 0.0000 0.5000 0.0000
4 Zr 0.5000 0.0000 0.5000
5 I 0.1725 0.6298 0.8633
6 I 0.2283 0.7717 0.2500
7 I 0.2492 0.2569 0.0251
8 I 0.2569 0.2492 0.5251
9 I 0.3702 0.8275 0.6367
10 I 0.6298 0.1725 0.3633
11 I 0.7431 0.7508 0.4749
12 I 0.7508 0.7431 0.9749
13 I 0.7717 0.2283 0.7500
14 I 0.8275 0.3702 0.1367